LuCuW2O8: optimized geometry, GGA+U.

As for the density: 8.19 g cm⁻³. As for the total energy: -7.373 eV/atom.

```
24
Lattice="5.941 0.000 0.000 0.000 5.082 0.006 0.000 4.695 9.869" Properties=species:S:1:pos:R:3 pbc="T T T"
O 5.266 4.513 5.921
O 5.266 7.612 8.888
O 3.770 5.443 3.617
O 0.676 2.165 0.987
O 2.171 7.790 8.551
O 0.565 5.020 8.782
O 0.565 7.105 6.026
O 3.777 5.263 8.711
O 2.164 2.915 3.776
O 0.676 5.265 3.953
O 3.777 6.862 6.098
O 5.376 2.672 3.848
O 2.171 4.334 6.258
O 5.376 4.758 1.092
O 2.164 4.514 1.164
O 3.770 1.987 1.323
W 4.938 6.174 4.853
W 1.003 3.603 5.022
W 1.003 8.522 9.787
W 4.938 1.256 0.087
Lu 3.933 3.521 7.401
Lu 2.009 1.174 2.467
Cu 1.767 6.062 7.404
Cu 4.175 3.715 2.470
```